1.
The following is a DFT calculation (PBE) of crystalline Pu3Mg2NpN6 at its relaxed geometry.

Values from the calculation:
space group = C2/m (12)
formation energy without anion corrections = -1.064 eV per atom

a b c (Å): 5.8774 5.8774 5.8468
angles (deg): 99.42 99.42 120.16
Atoms (fractional coordinates):
Pu 0.0000 0.0000 0.0000
Pu 0.3279 0.6721 0.0000
Pu 0.6721 0.3279 0.0000
Mg 0.1666 0.8334 0.5000
Mg 0.8334 0.1666 0.5000
Np 0.5000 0.5000 0.5000
N 0.0952 0.4179 0.2572
N 0.2617 0.2617 0.7494
N 0.4179 0.0952 0.2572
N 0.5821 0.9048 0.7428
N 0.7383 0.7383 0.2506
N 0.9048 0.5821 0.7428


2.
The following is a DFT calculation (PBE) of crystalline TiIr9W2 at its relaxed geometry.

Values from the calculation:
space group = P4/mmm (123)
energy of formation = -462 meV per atom

a b c (Å): 3.8907 3.8907 11.6762
angles (deg): 90.00 90.00 90.00
Atoms (fractional coordinates):
Ti 0.0000 0.0000 0.0000
Ir 0.0000 0.5000 0.1689
Ir 0.0000 0.5000 0.5000
Ir 0.0000 0.5000 0.8311
Ir 0.5000 0.0000 0.1689
Ir 0.5000 0.0000 0.5000
Ir 0.5000 0.0000 0.8311
Ir 0.5000 0.5000 0.0000
Ir 0.5000 0.5000 0.3346
Ir 0.5000 0.5000 0.6654
W 0.0000 0.0000 0.3292
W 0.0000 0.0000 0.6708


3.
The following is a DFT calculation (PBE) of crystalline HfSi3Te at its relaxed geometry.

Values from the calculation:
ΔE to the lowest computed polymorph = 594 meV/atom
space group = Pm-3m (221)
formation energy without anion corrections = 1.450 eV per atom

a b c (Å): 4.9939 4.9939 4.9939
angles (deg): 90.00 90.00 90.00
Atoms (fractional coordinates):
Hf 0.0000 0.0000 0.0000
Si 0.0000 0.5000 0.5000
Si 0.5000 0.0000 0.5000
Si 0.5000 0.5000 0.0000
Te 0.5000 0.5000 0.5000


4.
The following is a DFT calculation (PBE) of crystalline Lu3Ga5 at its relaxed geometry.

Values from the calculation:
space group = Pnma (62)
energy of formation = -606 meV per atom

a b c (Å): 11.2219 9.5651 6.0034
angles (deg): 90.00 90.00 90.00
Atoms (fractional coordinates):
Lu 0.0722 0.2500 0.1527
Lu 0.1473 0.5100 0.6090
Lu 0.1473 0.9900 0.6090
Lu 0.3527 0.0100 0.1090
Lu 0.3527 0.4900 0.1090
Lu 0.4278 0.7500 0.6527
Lu 0.5722 0.2500 0.3473
Lu 0.6473 0.5100 0.8910
Lu 0.6473 0.9900 0.8910
Lu 0.8527 0.0100 0.3910
Lu 0.8527 0.4900 0.3910
Lu 0.9278 0.7500 0.8473
Ga 0.0069 0.2500 0.6258
Ga 0.0912 0.5511 0.1261
Ga 0.0912 0.9489 0.1261
Ga 0.2016 0.7500 0.8925
Ga 0.2493 0.7500 0.3276
Ga 0.2507 0.2500 0.8276
Ga 0.2984 0.2500 0.3925
Ga 0.4088 0.0511 0.6261
Ga 0.4088 0.4489 0.6261
Ga 0.4931 0.7500 0.1258
Ga 0.5069 0.2500 0.8742
Ga 0.5912 0.5511 0.3739
Ga 0.5912 0.9489 0.3739
Ga 0.7016 0.7500 0.6075
Ga 0.7493 0.7500 0.1724
Ga 0.7507 0.2500 0.6724
Ga 0.7984 0.2500 0.1075
Ga 0.9088 0.0511 0.8739
Ga 0.9088 0.4489 0.8739
Ga 0.9931 0.7500 0.3742


5.
The following is a DFT calculation (PBE) of crystalline CuHgAs2 at its relaxed geometry.

Values from the calculation:
space group = Cmmm (65)
energy of formation = 390 meV per atom

a b c (Å): 5.4473 7.5454 3.7479
angles (deg): 90.00 90.00 90.00
Atoms (fractional coordinates):
Cu 0.0000 0.0000 0.0000
Cu 0.5000 0.5000 0.0000
Hg 0.0000 0.5000 0.0000
Hg 0.5000 0.0000 0.0000
As 0.2500 0.2500 0.5000
As 0.2500 0.7500 0.5000
As 0.7500 0.2500 0.5000
As 0.7500 0.7500 0.5000


6.
The following is a DFT calculation (PBE) of crystalline KTlC2O6 at its relaxed geometry.

Values from the calculation:
space group = C2/c (15)
formation energy without anion corrections = -1.334 eV per atom

a b c (Å): 6.6437 6.6437 6.8434
angles (deg): 102.45 102.45 95.19
Atoms (fractional coordinates):
K 0.1026 0.8974 0.7500
K 0.8974 0.1026 0.2500
Tl 0.3480 0.6520 0.2500
Tl 0.6520 0.3480 0.7500
C 0.1639 0.3842 0.7770
C 0.3842 0.1639 0.2770
C 0.6158 0.8361 0.7230
C 0.8361 0.6158 0.2230
O 0.0245 0.7004 0.3237
O 0.2019 0.5661 0.9019
O 0.2717 0.3081 0.2372
O 0.2996 0.9755 0.1763
O 0.3081 0.2717 0.7372
O 0.4339 0.7981 0.5981
O 0.5661 0.2019 0.4019
O 0.6919 0.7283 0.2628
O 0.7004 0.0245 0.8237
O 0.7283 0.6919 0.7628
O 0.7981 0.4339 0.0981
O 0.9755 0.2996 0.6763


7.
The following is a DFT calculation (PBE) of crystalline ErPuTlHg at its relaxed geometry.

Values from the calculation:
ΔE to the lowest computed polymorph = 0 meV/atom
space group = P4mm (99)
energy of formation = -222 meV per atom

a b c (Å): 3.6641 3.6641 7.9309
angles (deg): 90.00 90.00 90.00
Atoms (fractional coordinates):
Er 0.0000 0.0000 0.0000
Pu 0.0000 0.0000 0.5174
Tl 0.5000 0.5000 0.2479
Hg 0.5000 0.5000 0.7785


8.
The following is a DFT calculation (PBE) of crystalline MnGaS2 at its relaxed geometry.

Values from the calculation:
ΔE to the lowest computed polymorph = 29 meV/atom
space group = R-3m (166)
formation energy without anion corrections = -0.394 eV per atom

a b c (Å): 3.2781 3.2781 24.6511
angles (deg): 90.00 90.00 120.00
Atoms (fractional coordinates):
Mn 0.0000 0.0000 0.0000
Mn 0.3333 0.6667 0.6667
Mn 0.6667 0.3333 0.3333
Ga 0.0000 0.0000 0.5000
Ga 0.3333 0.6667 0.1667
Ga 0.6667 0.3333 0.8333
S 0.0000 0.0000 0.3874
S 0.0000 0.0000 0.6126
S 0.3333 0.6667 0.0540
S 0.3333 0.6667 0.2793
S 0.6667 0.3333 0.7207
S 0.6667 0.3333 0.9460


9.
The following is a DFT calculation (PBE) of crystalline LiSiBr at its relaxed geometry.

Values from the calculation:
ΔE to the lowest computed polymorph = 838 meV/atom
space group = P3m1 (156)
formation energy without anion corrections = 0.196 eV per atom

a b c (Å): 4.8902 4.8902 3.1272
angles (deg): 90.00 90.00 120.00
Atoms (fractional coordinates):
Li 0.0000 0.0000 0.0000
Si 0.6667 0.3333 0.5006
Br 0.3333 0.6667 0.5044


10.
The following is a DFT calculation (PBE) of crystalline CaNbPCl2 at its relaxed geometry.

Values from the calculation:
ΔE to the lowest computed polymorph = 824 meV/atom
space group = P4/mmm (123)
formation energy without anion corrections = 0.055 eV per atom

a b c (Å): 4.9024 4.9024 5.9900
angles (deg): 90.00 90.00 90.00
Atoms (fractional coordinates):
Ca 0.0000 0.0000 0.0000
Nb 0.5000 0.5000 0.5000
P 0.0000 0.0000 0.5000
Cl 0.0000 0.5000 0.0000
Cl 0.5000 0.0000 0.0000


11.
The following is a DFT calculation (PBE) of crystalline Ho6ThSc3 at its relaxed geometry.

Values from the calculation:
ΔE to the lowest computed polymorph = 21 meV/atom
space group = R32 (155)
energy of formation = 204 meV per atom

a b c (Å): 6.6870 6.6870 6.6870
angles (deg): 91.38 91.38 91.38
Atoms (fractional coordinates):
Ho 0.0000 0.3406 0.6594
Ho 0.1621 0.8379 0.5000
Ho 0.3406 0.6594 0.0000
Ho 0.5000 0.1621 0.8379
Ho 0.6594 0.0000 0.3406
Ho 0.8379 0.5000 0.1621
Th 0.0000 0.0000 0.0000
Sc 0.2635 0.2635 0.2635
Sc 0.5000 0.5000 0.5000
Sc 0.7365 0.7365 0.7365


12.
The following is a DFT calculation (PBE) of crystalline RbAl4Pd at its relaxed geometry.

Values from the calculation:
space group = I4/mcm (140)
energy of formation = -126 meV per atom

a b c (Å): 9.4379 9.4379 9.4379
angles (deg): 142.27 142.27 54.43
Atoms (fractional coordinates):
Rb 0.0000 0.0000 0.0000
Rb 0.5000 0.5000 0.0000
Al 0.0291 0.5291 0.1943
Al 0.1652 0.9709 0.5000
Al 0.3348 0.8348 0.8057
Al 0.4709 0.6652 0.5000
Al 0.5291 0.3348 0.5000
Al 0.6652 0.1652 0.1943
Al 0.8348 0.0291 0.5000
Al 0.9709 0.4709 0.8057
Pd 0.2500 0.2500 0.0000
Pd 0.7500 0.7500 0.0000